## AlRhAu2 (PBEsol)

Data for an optimized crystal structure of AlRhAu2.

```
AlRhAu2
1.0
-2.860 -0.302 -1.042
-0.013 -4.312 1.284
-0.143 3.500 3.869
Rh Au Al
1 2 1
Direct
0.528 0.528 0.056 Rh
0.977 0.977 0.954 Au
0.751 0.251 0.502 Au
0.244 0.744 0.487 Al
```

Output
D(E_F)	0.48	states/eV per atom
space-group type	Imm2 (44)
raw total energy	-5.324	eV/atom